# 1
BeAl2Tc (PBE-GGA, relaxed); VASP energy = -22.0 eV per cell; crystal system = monoclinic; size of the total moment = 0.0 μB/cell; N(E_F) = 2.5 states/eV/f.u.; energy relative to the elements = -0.09 eV per atom
1.0
2.647 -3.733 0.000
2.647 3.733 0.000
-0.008 0.000 2.741
Be Al Tc
1 2 1
Direct
0.000 0.000 0.000
0.000 0.500 0.500
0.500 0.000 0.500
0.500 0.500 0.000

---

# 2
YIn2Cl (PBE-GGA, relaxed); VASP energy = -15.9 eV per cell; relative energy among the computed polymorphs = 0.215 eV/atom; ΔE_f (raw) = -2.07 eV per formula unit; crystal system = cubic; size of the total moment = 0.0 μB/cell; N(E_F) = 0.9 states/eV/f.u.
1.0
0.000 3.672 3.672
3.672 0.000 3.672
3.672 3.672 0.000
Y In Cl
1 2 1
Direct
0.000 0.000 0.000
0.250 0.250 0.250
0.500 0.500 0.500
0.750 0.750 0.750

---

# 3
InFeRu (PBE-GGA, relaxed); VASP energy = -19.1 eV per cell; crystal system = cubic; size of the total moment = 0.0 μB/cell; N(E_F) = 3.6 states/eV/f.u.; energy relative to the elements = 0.46 eV per atom
1.0
0.000 2.923 2.923
2.923 0.000 2.923
2.923 2.923 0.000
In Fe Ru
1 1 1
Direct
0.000 0.000 0.000
0.250 0.250 0.250
0.500 0.500 0.500

---

# 4
NdDy3Ho12 (PBE-GGA, relaxed); VASP energy = -73.2 eV per cell; crystal system = tetragonal; size of the total moment = 0.0 μB/cell; N(E_F) = 20.9 states/eV/f.u.; energy relative to the elements = 0.02 eV per atom
1.0
5.001 0.000 0.000
0.000 5.001 0.000
0.000 0.000 20.003
Nd Dy Ho
1 3 12
Direct
0.000 0.000 0.000
0.000 0.000 0.251
0.000 0.000 0.500
0.000 0.000 0.749
0.000 0.500 0.127
0.000 0.500 0.376
0.000 0.500 0.624
0.000 0.500 0.873
0.500 0.000 0.127
0.500 0.000 0.376
0.500 0.000 0.624
0.500 0.000 0.873
0.500 0.500 0.000
0.500 0.500 0.251
0.500 0.500 0.500
0.500 0.500 0.749